[1]
Na2CoP2 | meta-GGA SCAN | single point on PBEsol structure

## Properties
crystal system: tetragonal
space-group type: P4/mbm (127)
energy of formation: -2.1 eV per formula unit

Lattice parameters (Å, degrees): 4.806 5.710 5.710 90.00 90.00 90.00
Positions (direct):
P 0.000 0.861 0.639
P 0.000 0.639 0.139
Co 0.000 0.500 0.500
Na 0.500 0.320 0.180
Na 0.500 0.820 0.320
Na 0.500 0.180 0.680
P 0.000 0.139 0.361
P 0.000 0.361 0.861
Na 0.500 0.680 0.820
Co 0.000 0.000 0.000

[2]
Na2SrCoPb | meta-GGA SCAN | single point on PBEsol structure

## Properties
crystal system: tetragonal
space-group type: P4/mmm (123)
energy of formation: 0.8 eV per formula unit

Lattice parameters (Å, degrees): 4.989 5.276 5.276 90.00 90.00 90.00
Site moments in Bohr magnetons follow the coordinates.
Positions (direct):
Pb 0.500 0.000 0.000  -0.02
Na 0.000 0.000 0.500  -0.02
Sr 0.500 0.500 0.500  -0.06
Na 0.000 0.500 0.000  -0.02
Co 0.000 0.000 0.000  1.68

[3]
NaCoPd2 | meta-GGA SCAN | single point on PBEsol structure

## Properties
crystal system: tetragonal
space-group type: I-42d (122)
energy of formation: 1.9 eV per formula unit

Lattice parameters (Å, degrees): 3.845 3.845 9.106 102.19 102.19 90.00
Site moments in Bohr magnetons follow the coordinates.
Positions (direct):
Pd 0.358 0.875 0.250  0.13
Co 0.000 0.000 0.000  2.12
Pd 0.892 0.375 0.250  0.13
Pd 0.125 0.108 0.750  0.13
Co 0.250 0.750 0.500  2.12
Pd 0.625 0.642 0.750  0.13
Na 0.750 0.250 0.500  -0.01
Na 0.500 0.500 0.000  -0.01

[4]
NaCoRe2 | meta-GGA SCAN | single point on PBEsol structure

## Properties
crystal system: cubic
space-group type: Fm-3m (225)
energy of formation: 5.1 eV per formula unit

Lattice parameters (Å, degrees): 4.245 4.245 4.245 60.00 60.00 60.00
Site moments in Bohr magnetons follow the coordinates.
Positions (direct):
Na 0.000 0.000 0.000  0.03
Co 0.500 0.500 0.500  1.52
Re 0.250 0.250 0.250  0.25
Re 0.750 0.750 0.750  0.25

[5]
NaCoRe3 | meta-GGA SCAN | single point on PBEsol structure

## Properties
crystal system: cubic
space-group type: Pm-3m (221)
energy of formation: 9.4 eV per formula unit

Lattice parameters (Å, degrees): 4.430 4.430 4.430 90.00 90.00 90.00
Positions (direct):
Re 0.000 0.000 0.500
Co 0.000 0.000 0.000
Na 0.500 0.500 0.500
Re 0.500 0.000 0.000
Re 0.000 0.500 0.000

[6]
NaCoReW2 | meta-GGA SCAN | single point on PBEsol structure

## Properties
crystal system: tetragonal
space-group type: P4/mmm (123)
energy of formation: 9.5 eV per formula unit

Lattice parameters (Å, degrees): 4.182 4.429 4.429 90.00 90.00 90.00
Positions (direct):
Na 0.500 0.000 0.000
Re 0.500 0.500 0.500
W 0.000 0.000 0.500
W 0.000 0.500 0.000
Co 0.000 0.000 0.000

[7]
NaCoRh3 | meta-GGA SCAN | single point on PBEsol structure

## Properties
crystal system: cubic
space-group type: Pm-3m (221)
energy of formation: 4.2 eV per formula unit

Lattice parameters (Å, degrees): 4.448 4.448 4.448 90.00 90.00 90.00
Site moments in Bohr magnetons follow the coordinates.
Positions (direct):
Na 0.500 0.500 0.500  -0.01
Co 0.000 0.000 0.000  1.86
Rh 0.000 0.000 0.500  0.97
Rh 0.000 0.500 0.000  0.97
Rh 0.500 0.000 0.000  0.97

[8]
NaTa2CoRh | meta-GGA SCAN | single point on PBEsol structure

## Properties
crystal system: tetragonal
space-group type: P4/mmm (123)
energy of formation: 11.4 eV per formula unit

Lattice parameters (Å, degrees): 4.266 4.528 4.528 90.00 90.00 90.00
Site moments in Bohr magnetons follow the coordinates.
Positions (direct):
Co 0.500 0.500 0.500  1.98
Rh 0.500 0.000 0.000  -0.20
Ta 0.000 0.500 0.000  -0.07
Ta 0.000 0.000 0.500  -0.07
Na 0.000 0.000 0.000  -0.01

[9]
Na2TaCoS | meta-GGA SCAN | single point on PBEsol structure

## Properties
crystal system: tetragonal
space-group type: P4/mmm (123)
formation energy (no corrections): 20.89 kcal/mol of atoms

Lattice parameters (Å, degrees): 4.042 5.129 5.129 90.00 90.00 90.00
Site moments in Bohr magnetons follow the coordinates.
Positions (direct):
Na 0.000 0.000 0.500  0.03
Na 0.000 0.500 0.000  0.03
Co 0.500 0.000 0.000  -1.62
S 0.000 0.000 0.000  -0.06
Ta 0.500 0.500 0.500  2.23

[10]
NaCoSb2W | meta-GGA SCAN | single point on PBEsol structure

## Properties
crystal system: tetragonal
space-group type: P4/mmm (123)
formation energy (no corrections): 21.12 kcal/mol of atoms

Lattice parameters (Å, degrees): 4.637 4.892 4.892 90.00 90.00 90.00
Site moments in Bohr magnetons follow the coordinates.
Positions (direct):
W 0.500 0.000 0.000  1.93
Na 0.500 0.500 0.500  0.00
Co 0.000 0.000 0.000  -0.69
Sb 0.000 0.000 0.500  -0.06
Sb 0.000 0.500 0.000  -0.06

[11]
NaSrCo2Se | meta-GGA SCAN | single point on PBEsol structure

## Properties
crystal system: tetragonal
space-group type: P4/mmm (123)
formation energy (no corrections): 33.94 kcal/mol of atoms

Lattice parameters (Å, degrees): 4.639 4.639 5.509 90.00 90.00 90.00
Site moments in Bohr magnetons follow the coordinates.
Positions (direct):
Co 0.500 0.000 0.000  1.50
Co 0.000 0.500 0.000  1.50
Na 0.000 0.000 0.500  -0.01
Se 0.500 0.500 0.500  0.07
Sr 0.000 0.000 0.000  -0.19

[12]
NaSr2CoSe | meta-GGA SCAN | single point on PBEsol structure

## Properties
crystal system: tetragonal
space-group type: P4/mmm (123)
formation energy (no corrections): -6.57 kcal/mol of atoms

Lattice parameters (Å, degrees): 4.347 5.987 5.987 90.00 90.00 90.00
Site moments in Bohr magnetons follow the coordinates.
Positions (direct):
Co 0.500 0.000 0.000  1.50
Na 0.500 0.500 0.500  0.00
Sr 0.000 0.000 0.500  -0.04
Se 0.000 0.000 0.000  0.01
Sr 0.000 0.500 0.000  -0.04

Total magnetic moment for the records above, in order: 0.00, 0.23, 0.60, 0.54, 0.00, 0.00, 0.91, 0.31, 0.46, 0.33, 0.57, 0.19 μB per atom